No. 1
A plane-wave DFT calculation with PBE was carried out for a geometry-optimized CaYHo4S8 structure.

The structure belongs to space group R3m (No. 160, hexagonal axes); the cell edges are 8.0582, 8.0582 and 19.7716 Å and the angles 90.00°, 90.00° and 120.00°. The inequivalent atoms are Ca at (0.0000, 0.0000, 0.0000), Y at (0.0000, 0.0000, 0.3728), Ho at (0.0000, 0.0000, 0.7496), Ho at (0.0053, 0.5027, 0.8755), S at (0.0000, 0.0000, 0.1355), S at (0.0000, 0.0000, 0.6168), S at (0.0198, 0.5099, 0.1279) and S at (0.1803, 0.3605, 0.9540).

For the total magnetization, the calculation gives 0.0 Bohr magnetons per cell. The formation energy without anion corrections comes out at -193.2 kJ/mol of atoms. As for the calculated density: 4.7 g/cm³. For the total energy, the calculation gives -6.274 eV per atom.

=====

No. 2
A plane-wave DFT calculation with PBE was carried out for a geometry-optimized CaYHo2S4 structure.

The structure belongs to space group P2/m (No. 10); the cell edges are 6.794, 3.906 and 6.799 Å and the angles 90.00°, 109.17° and 90.00°. The inequivalent atoms are Ca at (0.000, 0.000, 0.000), Y at (0.000, 0.500, 0.500), Ho at (0.500, 0.000, 0.500), Ho at (0.500, 0.500, 0.000), S at (0.253, 0.000, 0.751) and S at (0.255, 0.500, 0.252).

For the total magnetization, the calculation gives 0.0 Bohr magnetons per cell. The formation energy without anion corrections comes out at -194.2 kJ/mol of atoms. As for the calculated density: 5.7 g/cm³. For the total energy, the calculation gives -6.279 eV per atom.

=====

No. 3
A plane-wave DFT calculation with PBE was carried out for a geometry-optimized CaY4HoS8 structure.

The structure belongs to space group R3m (No. 160, hexagonal axes); the cell edges are 8.0953, 8.0953 and 19.8011 Å and the angles 90.00°, 90.00° and 120.00°. The inequivalent atoms are Ca at (0.0000, 0.0000, 0.0000), Y at (0.0000, 0.0000, 0.2497), Y at (0.1692, 0.3384, 0.4576), Ho at (0.0000, 0.0000, 0.6270), S at (0.0000, 0.0000, 0.3828), S at (0.0000, 0.0000, 0.8647), S at (0.0284, 0.5142, 0.3778) and S at (0.1780, 0.3560, 0.2062).

For the total magnetization, the calculation gives 0.0 Bohr magnetons per cell. The formation energy without anion corrections comes out at -193.8 kJ/mol of atoms. As for the calculated density: 3.6 g/cm³. For the total energy, the calculation gives -6.684 eV per atom.

=====

No. 4
A plane-wave DFT calculation with PBE was carried out for a geometry-optimized Ca3Ho3ZnS8 structure.

The structure belongs to space group R-3m (No. 166, hexagonal axes); the cell edges are 7.8033, 7.8033 and 19.5591 Å and the angles 90.00°, 90.00° and 120.00°. The inequivalent atoms are Ca at (0.0000, 0.5000, 0.0000), Ho at (0.0000, 0.5000, 0.5000), Zn at (0.0000, 0.0000, 0.5000), S at (0.0000, 0.0000, 0.2473) and S at (0.0115, 0.5057, 0.2430).

For the total magnetization, the calculation gives 0.0 Bohr magnetons per cell. The formation energy without anion corrections comes out at -179.4 kJ/mol of atoms. As for the calculated density: 4.5 g/cm³. For the total energy, the calculation gives -5.462 eV per atom.

=====

No. 5
A plane-wave DFT calculation with PBE was carried out for a geometry-optimized CaHo3Sb4 structure.

The structure belongs to space group Pm-3m (No. 221); the cell edges are 6.222, 6.222 and 6.222 Å and the angles 90.00°, 90.00° and 90.00°. The inequivalent atoms are Ca at (0.000, 0.000, 0.000), Ho at (0.000, 0.500, 0.500), Sb at (0.000, 0.000, 0.500) and Sb at (0.500, 0.500, 0.500).

For the total magnetization, the calculation gives 0.0 Bohr magnetons per cell. The formation energy without anion corrections comes out at -97.2 kJ/mol of atoms. As for the calculated density: 7.0 g/cm³. For the total energy, the calculation gives -5.036 eV per atom.

=====

No. 6
A plane-wave DFT calculation with PBE was carried out for a geometry-optimized CaHo5Sb6 structure.

The structure belongs to space group C2/m (No. 12); the cell edges are 7.605, 13.187 and 7.616 Å and the angles 90.00°, 109.49° and 90.00°. The inequivalent atoms are Ca at (0.000, 0.000, 0.000), Ho at (0.000, 0.164, 0.500), Ho at (0.000, 0.332, 0.000), Ho at (0.000, 0.500, 0.500), Sb at (0.245, 0.500, 0.252) and Sb at (0.246, 0.331, 0.747).

For the total magnetization, the calculation gives 0.0 Bohr magnetons per cell. The formation energy without anion corrections comes out at -102.2 kJ/mol of atoms. As for the calculated density: 7.4 g/cm³. For the total energy, the calculation gives -5.195 eV per atom.

=====

No. 7
A plane-wave DFT calculation with PBE was carried out for a geometry-optimized CaHo3Sb3 structure.

The structure belongs to space group R-3 (No. 148, hexagonal axes); the cell edges are 9.0311, 9.0311 and 18.4062 Å and the angles 90.00°, 90.00° and 120.00°. The inequivalent atoms are Ca at (0.0000, 0.0000, 0.1659), Ho at (0.0031, 0.7394, 0.5849) and Sb at (0.0053, 0.6205, 0.4174).

For the total magnetization, the calculation gives 0.0 Bohr magnetons per cell. The formation energy without anion corrections comes out at -84.9 kJ/mol of atoms. As for the calculated density: 6.9 g/cm³. For the total energy, the calculation gives -4.895 eV per atom.

=====

No. 8
A plane-wave DFT calculation with PBE was carried out for a geometry-optimized CaHo3Sb2 structure.

The structure belongs to space group C2/m (No. 12); the cell edges are 18.057, 4.441 and 9.689 Å and the angles 90.00°, 113.68° and 90.00°. The inequivalent atoms are Ca at (0.110, 0.000, 0.117), Ho at (0.058, 0.000, 0.680), Ho at (0.146, 0.500, 0.481), Ho at (0.191, 0.500, 0.888), Sb at (0.007, 0.500, 0.836) and Sb at (0.246, 0.000, 0.714).

For the total magnetization, the calculation gives 0.7 Bohr magnetons per cell. The formation energy without anion corrections comes out at -62.0 kJ/mol of atoms. As for the calculated density: 7.3 g/cm³. For the total energy, the calculation gives -4.639 eV per atom.

=====

> Which of these has the highest formation energy without anion corrections?

CaHo3Sb2

=====

> Which value of calculated density does entry 7 give?

6.9 g/cm³

=====

> Which of these has the lowest formation energy without anion corrections?

CaYHo2S4

=====

> What is the formation energy without anion corrections in the eighth record?

-62.0 kJ/mol of atoms